! TiP2CCl (PBE, optimized geometry); values from VASP
&SYSTEM
  ibrav = 0, nat = 5, ntyp = 4
/
ATOMIC_SPECIES
P 30.97 P.upf
C 12.01 C.upf
Cl 35.45 Cl.upf
Ti 47.87 Ti.upf
CELL_PARAMETERS angstrom
-0.894 2.853 2.526
-3.615 -1.455 0.363
1.434 -2.679 3.533
ATOMIC_POSITIONS angstrom
P -1.808 -0.728 0.182
P -0.447 1.426 1.263
C 0.000 0.000 0.000
Cl 0.717 -1.340 1.767
Ti -1.538 -0.641 3.211
! Calculated volume in Å³/atom: 14.3
! Fermi-level density of states in states/eV/cell: 4.5
! Uncorrected formation energy in kJ/mol of atoms: 79.5
! Calculated total energy in eV per atom: -5.1327
! Density in g cm⁻³: 3.66
! Energy above the most stable polymorph in this dataset in meV per atom: 0
! Size of the total moment in μB/cell: 0.001


! TlPCCl2 (PBE, optimized geometry); values from VASP
&SYSTEM
  ibrav = 0, nat = 5, ntyp = 4
/
ATOMIC_SPECIES
P 30.97 P.upf
Tl 204.38 Tl.upf
C 12.01 C.upf
Cl 35.45 Cl.upf
CELL_PARAMETERS angstrom
5.441 0.000 0.000
0.000 5.441 0.000
0.000 0.000 5.374
ATOMIC_POSITIONS angstrom
P 0.000 0.000 2.687
Tl 0.000 0.000 0.000
C 2.721 2.721 2.687
Cl 0.000 2.721 0.000
Cl 2.721 0.000 0.000
! Calculated volume in Å³/atom: 31.8
! Fermi-level density of states in states/eV/cell: 7.8
! Uncorrected formation energy in kJ/mol of atoms: 165.9
! Calculated total energy in eV per atom: -2.4196
! Density in g cm⁻³: 3.32
! Energy above the most stable polymorph in this dataset in meV per atom: 1116
! Size of the total moment in μB/cell: 3.758


! TlPCCl2 (PBE, optimized geometry); values from VASP
&SYSTEM
  ibrav = 0, nat = 5, ntyp = 4
/
ATOMIC_SPECIES
P 30.97 P.upf
Tl 204.38 Tl.upf
C 12.01 C.upf
Cl 35.45 Cl.upf
CELL_PARAMETERS angstrom
-5.678 -0.696 0.087
0.677 -5.626 -0.793
0.111 -0.474 3.460
ATOMIC_POSITIONS angstrom
P 0.056 -0.237 1.730
Tl -2.445 -3.398 1.377
C 0.000 0.000 0.000
Cl 0.339 -2.813 -0.396
Cl -2.839 -0.348 0.043
! Calculated volume in Å³/atom: 22.9
! Fermi-level density of states in states/eV/cell: 3.4
! Uncorrected formation energy in kJ/mol of atoms: 58.2
! Calculated total energy in eV per atom: -3.5359
! Density in g cm⁻³: 4.62
! Energy above the most stable polymorph in this dataset in meV per atom: 0
! Size of the total moment in μB/cell: 0.326


! VP2CCl (PBE, optimized geometry); values from VASP
&SYSTEM
  ibrav = 0, nat = 5, ntyp = 4
/
ATOMIC_SPECIES
P 30.97 P.upf
C 12.01 C.upf
Cl 35.45 Cl.upf
V 50.94 V.upf
CELL_PARAMETERS angstrom
-3.330 -2.044 -0.650
1.015 -2.560 2.847
-2.062 2.430 2.920
ATOMIC_POSITIONS angstrom
P 0.508 -1.280 1.424
P -1.665 -1.022 -0.325
C 0.000 0.000 0.000
Cl -1.031 1.215 1.460
V -2.188 -1.087 2.558
! Calculated volume in Å³/atom: 13.6
! Fermi-level density of states in states/eV/cell: 4.3
! Uncorrected formation energy in kJ/mol of atoms: 113.2
! Calculated total energy in eV per atom: -5.0286
! Density in g cm⁻³: 3.93
! Energy above the most stable polymorph in this dataset in meV per atom: 0
! Size of the total moment in μB/cell: 0.024


! VP2CCl (PBE, optimized geometry); values from VASP
&SYSTEM
  ibrav = 0, nat = 5, ntyp = 4
/
ATOMIC_SPECIES
P 30.97 P.upf
C 12.01 C.upf
Cl 35.45 Cl.upf
V 50.94 V.upf
CELL_PARAMETERS angstrom
-0.341 4.557 0.281
-3.970 -0.435 2.240
2.242 -0.076 3.958
ATOMIC_POSITIONS angstrom
P -1.985 -0.217 1.120
P -0.170 2.279 0.140
C -1.034 2.023 3.239
Cl 1.121 -0.038 1.979
V 0.000 0.000 0.000
! Calculated volume in Å³/atom: 19.1
! Fermi-level density of states in states/eV/cell: 4.8
! Uncorrected formation energy in kJ/mol of atoms: 140.2
! Calculated total energy in eV per atom: -4.7486
! Density in g cm⁻³: 2.79
! Energy above the most stable polymorph in this dataset in meV per atom: 280
! Size of the total moment in μB/cell: 1.697


! P2WCCl (PBE, optimized geometry); values from VASP
&SYSTEM
  ibrav = 0, nat = 5, ntyp = 4
/
ATOMIC_SPECIES
P 30.97 P.upf
C 12.01 C.upf
W 183.84 W.upf
Cl 35.45 Cl.upf
CELL_PARAMETERS angstrom
-0.953 2.956 -2.457
-3.788 -0.294 1.117
0.688 2.764 3.060
ATOMIC_POSITIONS angstrom
P -1.894 -0.147 0.558
P -0.477 1.478 -1.228
C 0.000 0.000 0.000
W -2.027 2.714 0.860
Cl 0.344 1.382 1.530
! Calculated volume in Å³/atom: 13.1
! Fermi-level density of states in states/eV/cell: 3.4
! Uncorrected formation energy in kJ/mol of atoms: 139.1
! Calculated total energy in eV per atom: -5.5272
! Density in g cm⁻³: 7.43
! Energy above the most stable polymorph in this dataset in meV per atom: 0
! Size of the total moment in μB/cell: 0.001


! P2WCCl (PBE, optimized geometry); values from VASP
&SYSTEM
  ibrav = 0, nat = 5, ntyp = 4
/
ATOMIC_SPECIES
P 30.97 P.upf
C 12.01 C.upf
W 183.84 W.upf
Cl 35.45 Cl.upf
CELL_PARAMETERS angstrom
4.699 0.000 0.000
0.000 4.699 0.000
0.000 0.000 4.787
ATOMIC_POSITIONS angstrom
P 0.000 2.349 0.000
P 2.349 0.000 0.000
C 2.349 2.349 2.394
W 0.000 0.000 0.000
Cl 0.000 0.000 2.394
! Calculated volume in Å³/atom: 21.1
! Fermi-level density of states in states/eV/cell: 6.1
! Uncorrected formation energy in kJ/mol of atoms: 159.8
! Calculated total energy in eV per atom: -5.3125
! Density in g cm⁻³: 4.61
! Energy above the most stable polymorph in this dataset in meV per atom: 215
! Size of the total moment in μB/cell: 1.801


! PWCCl2 (PBE, optimized geometry); values from VASP
&SYSTEM
  ibrav = 0, nat = 5, ntyp = 4
/
ATOMIC_SPECIES
P 30.97 P.upf
C 12.01 C.upf
W 183.84 W.upf
Cl 35.45 Cl.upf
CELL_PARAMETERS angstrom
-4.068 -0.814 0.560
0.293 -3.260 -2.609
0.940 -2.487 3.213
ATOMIC_POSITIONS angstrom
P 0.470 -1.244 1.606
C 0.000 0.000 0.000
W -1.417 -3.280 0.582
Cl 0.146 -1.630 -1.305
Cl -2.034 -0.407 0.280
! Calculated volume in Å³/atom: 14.6
! Fermi-level density of states in states/eV/cell: 2.9
! Uncorrected formation energy in kJ/mol of atoms: 170.6
! Calculated total energy in eV per atom: -4.4876
! Density in g cm⁻³: 6.77
! Energy above the most stable polymorph in this dataset in meV per atom: 268
! Size of the total moment in μB/cell: 2.212


! PWCCl2 (PBE, optimized geometry); values from VASP
&SYSTEM
  ibrav = 0, nat = 5, ntyp = 4
/
ATOMIC_SPECIES
P 30.97 P.upf
C 12.01 C.upf
W 183.84 W.upf
Cl 35.45 Cl.upf
CELL_PARAMETERS angstrom
-3.482 3.075 -0.968
-2.963 -3.615 -0.821
-1.274 0.002 4.586
ATOMIC_POSITIONS angstrom
P -0.637 0.001 2.293
C -3.860 -0.269 1.398
W 0.000 0.000 0.000
Cl -1.482 -1.807 -0.411
Cl -1.741 1.537 -0.484
! Calculated volume in Å³/atom: 21.4
! Fermi-level density of states in states/eV/cell: 5.6
! Uncorrected formation energy in kJ/mol of atoms: 144.7
! Calculated total energy in eV per atom: -4.7560
! Density in g cm⁻³: 4.61
! Energy above the most stable polymorph in this dataset in meV per atom: 0
! Size of the total moment in μB/cell: 2.223


! YPCCl2 (PBE, optimized geometry); values from VASP
&SYSTEM
  ibrav = 0, nat = 5, ntyp = 4
/
ATOMIC_SPECIES
Y 88.91 Y.upf
P 30.97 P.upf
C 12.01 C.upf
Cl 35.45 Cl.upf
CELL_PARAMETERS angstrom
5.210 0.000 0.000
0.000 5.210 0.000
0.000 0.000 5.790
ATOMIC_POSITIONS angstrom
Y 0.000 0.000 0.000
P 0.000 0.000 2.895
C 2.605 2.605 2.895
Cl 0.000 2.605 0.000
Cl 2.605 0.000 0.000
! Calculated volume in Å³/atom: 31.4
! Fermi-level density of states in states/eV/cell: 5.2
! Uncorrected formation energy in kJ/mol of atoms: 64.0
! Calculated total energy in eV per atom: -4.2950
! Density in g cm⁻³: 2.14
! Energy above the most stable polymorph in this dataset in meV per atom: 425
! Size of the total moment in μB/cell: 3.577


! YPCCl2 (PBE, optimized geometry); values from VASP
&SYSTEM
  ibrav = 0, nat = 5, ntyp = 4
/
ATOMIC_SPECIES
Y 88.91 Y.upf
P 30.97 P.upf
C 12.01 C.upf
Cl 35.45 Cl.upf
CELL_PARAMETERS angstrom
4.409 0.000 0.000
0.000 4.409 0.000
0.000 0.000 4.448
ATOMIC_POSITIONS angstrom
Y 2.204 2.204 2.224
P 0.000 0.000 2.224
C 0.000 0.000 0.000
Cl 0.000 2.204 0.000
Cl 2.204 0.000 0.000
! Calculated volume in Å³/atom: 17.3
! Fermi-level density of states in states/eV/cell: 1.7
! Uncorrected formation energy in kJ/mol of atoms: 23.0
! Calculated total energy in eV per atom: -4.7200
! Density in g cm⁻³: 3.90
! Energy above the most stable polymorph in this dataset in meV per atom: 0
! Size of the total moment in μB/cell: 0.136


! YP2CCl (PBE, optimized geometry); values from VASP
&SYSTEM
  ibrav = 0, nat = 5, ntyp = 4
/
ATOMIC_SPECIES
Y 88.91 Y.upf
P 30.97 P.upf
C 12.01 C.upf
Cl 35.45 Cl.upf
CELL_PARAMETERS angstrom
-0.023 -3.702 1.397
1.773 -1.259 -3.306
4.810 0.826 2.265
ATOMIC_POSITIONS angstrom
Y 3.280 -2.068 0.178
P 0.886 -0.629 -1.653
P -0.011 -1.851 0.699
C 0.000 0.000 0.000
Cl 2.405 0.413 1.133
! Calculated volume in Å³/atom: 16.9
! Fermi-level density of states in states/eV/cell: 1.1
! Uncorrected formation energy in kJ/mol of atoms: 19.5
! Calculated total energy in eV per atom: -5.4684
! Density in g cm⁻³: 3.91
! Energy above the most stable polymorph in this dataset in meV per atom: 0
! Size of the total moment in μB/cell: 0.000